No. 1
First-principles (PBE with a Hubbard U) data for a geometry-optimized UCrCoO6 structure, as listed in Alexandria.

Computed properties:
As for the final energy: -8.042 eV per atom. Its space-group type is P-31c (163).

Cell: 5.0802 5.0802 8.9637 Å, 90.00 90.00 120.00°
Positions (direct):
U 0.3333 0.6667 0.2500
U 0.6667 0.3333 0.7500
Cr 0.0000 0.0000 0.0000
Cr 0.0000 0.0000 0.5000
Co 0.3333 0.6667 0.7500
Co 0.6667 0.3333 0.2500
O 0.0222 0.3449 0.6282
O 0.0222 0.6773 0.8718
O 0.3227 0.3449 0.8718
O 0.3227 0.9778 0.6282
O 0.3449 0.0222 0.1282
O 0.3449 0.3227 0.3718
O 0.6551 0.6773 0.6282
O 0.6551 0.9778 0.8718
O 0.6773 0.0222 0.3718
O 0.6773 0.6551 0.1282
O 0.9778 0.3227 0.1282
O 0.9778 0.6551 0.3718

=====

No. 2
First-principles (PBE with a Hubbard U) data for a geometry-optimized UCrCo2O8 structure, as listed in Alexandria.

Computed properties:
As for the final energy: -7.272 eV per atom. Its space-group type is I-4m2 (119).

Cell: 5.7541 5.7541 5.7541 Å, 109.12 109.12 110.17°
Positions (direct):
U 0.0000 0.0000 0.0000
Cr 0.2500 0.7500 0.5000
Co 0.5000 0.5000 0.0000
Co 0.7500 0.2500 0.5000
O 0.3105 0.1151 0.8046
O 0.3105 0.5059 0.1954
O 0.3599 0.0563 0.3036
O 0.4941 0.6895 0.8046
O 0.7528 0.0563 0.6964
O 0.8849 0.6895 0.1954
O 0.9437 0.2472 0.3036
O 0.9437 0.6401 0.6964

=====

No. 3
First-principles (PBE with a Hubbard U) data for a geometry-optimized V4CrCoO12 structure, as listed in Alexandria.

Computed properties:
As for the final energy: -7.420 eV per atom. Its space-group type is C2 (5).

Cell: 6.7819 6.7819 5.9013 Å, 104.92 104.92 84.22°
Positions (direct):
V 0.0195 0.3858 0.9912
V 0.2022 0.2022 0.4918
V 0.6142 0.9805 0.0088
V 0.7978 0.7978 0.5082
Cr 0.3269 0.6731 0.5000
Co 0.4957 0.5043 0.0000
O 0.0318 0.6813 0.5261
O 0.0373 0.2411 0.6937
O 0.0608 0.2212 0.1977
O 0.2146 0.5559 0.1084
O 0.3187 0.9682 0.4739
O 0.3732 0.3979 0.6038
O 0.4441 0.7854 0.8916
O 0.4933 0.2117 0.0220
O 0.6021 0.6268 0.3962
O 0.7589 0.9627 0.3063
O 0.7788 0.9392 0.8023
O 0.7883 0.5067 0.9780

=====

No. 4
First-principles (PBE with a Hubbard U) data for a geometry-optimized CrCoWO2 structure, as listed in Alexandria.

Computed properties:
The energy above the lowest structure with this stoichiometry is 312.9 kJ/mol of formula units. As for the final energy: -5.603 eV per atom. Its space-group type is P4/mmm (123).

Cell: 3.7399 3.7399 4.9261 Å, 90.00 90.00 90.00°
Positions (direct):
Cr 0.0000 0.0000 0.0000
Co 0.0000 0.0000 0.5000
W 0.5000 0.5000 0.5000
O 0.0000 0.5000 0.0000
O 0.5000 0.0000 0.0000